1.
VASP calculation (PBE) on an optimized crystal structure of Pm4Nd8Ho.

Results
Symmetry: R-3m
Density: 6873 kg/m3
Spin magnetization: 0.00 μB per formula unit
DFT total energy: -4.57 eV per atom

Cell lengths 10.520, 10.520, 10.520 Å; angles 41.33, 41.33, 41.33 degrees
Fractional positions:
Pm: 0.000 0.000 0.000
Pm: 0.000 0.500 0.500
Pm: 0.500 0.000 0.500
Pm: 0.500 0.500 0.000
Nd: 0.201 0.751 0.751
Nd: 0.213 0.213 0.213
Nd: 0.249 0.249 0.799
Nd: 0.249 0.799 0.249
Nd: 0.751 0.201 0.751
Nd: 0.751 0.751 0.201
Nd: 0.787 0.787 0.787
Nd: 0.799 0.249 0.249
Ho: 0.500 0.500 0.500

2.
VASP calculation (PBE) on an optimized crystal structure of Pm8Nd5Ho.

Results
Symmetry: I-4
Density: 6895 kg/m3
Spin magnetization: 0.00 μB per formula unit
DFT total energy: -4.51 eV per atom

Cell lengths 8.622, 8.622, 8.622 Å; angles 110.73, 110.73, 106.97 degrees
Fractional positions:
Pm: 0.078 0.336 0.603
Pm: 0.170 0.436 0.099
Pm: 0.338 0.072 0.901
Pm: 0.525 0.922 0.257
Pm: 0.564 0.662 0.734
Pm: 0.664 0.268 0.743
Pm: 0.732 0.475 0.397
Pm: 0.928 0.830 0.266
Nd: 0.030 0.713 0.897
Nd: 0.287 0.184 0.317
Nd: 0.500 0.500 0.000
Nd: 0.816 0.133 0.103
Nd: 0.867 0.970 0.683
Ho: 0.250 0.750 0.500

3.
VASP calculation (PBE) on an optimized crystal structure of Pm4NdHo15.

Results
Symmetry: P4/mmm
Density: 8350 kg/m3
Spin magnetization: 0.00 μB per formula unit
DFT total energy: -4.60 eV per atom

Cell lengths 5.036, 5.036, 25.080 Å; angles 90.00, 90.00, 90.00 degrees
Fractional positions:
Pm: 0.000 0.000 0.100
Pm: 0.000 0.000 0.300
Pm: 0.000 0.000 0.700
Pm: 0.000 0.000 0.900
Nd: 0.000 0.000 0.500
Ho: 0.000 0.500 0.000
Ho: 0.000 0.500 0.200
Ho: 0.000 0.500 0.400
Ho: 0.000 0.500 0.600
Ho: 0.000 0.500 0.800
Ho: 0.500 0.000 0.000
Ho: 0.500 0.000 0.200
Ho: 0.500 0.000 0.400
Ho: 0.500 0.000 0.600
Ho: 0.500 0.000 0.800
Ho: 0.500 0.500 0.100
Ho: 0.500 0.500 0.300
Ho: 0.500 0.500 0.500
Ho: 0.500 0.500 0.700
Ho: 0.500 0.500 0.900

4.
VASP calculation (PBE) on an optimized crystal structure of Pm8Nd2Ho.

Results
Symmetry: C2/m
Density: 6834 kg/m3
Spin magnetization: 0.00 μB per formula unit
DFT total energy: -4.57 eV per atom

Cell lengths 10.245, 10.245, 5.752 Å; angles 93.63, 93.63, 40.60 degrees
Fractional positions:
Pm: 0.045 0.045 0.234
Pm: 0.109 0.636 0.269
Pm: 0.314 0.314 0.772
Pm: 0.364 0.891 0.731
Pm: 0.636 0.109 0.269
Pm: 0.686 0.686 0.228
Pm: 0.891 0.364 0.731
Pm: 0.955 0.955 0.766
Nd: 0.216 0.216 0.258
Nd: 0.784 0.784 0.742
Ho: 0.500 0.500 0.000